No. 1
Here is a relaxed structure of Ac2Dy6Tm from the Alexandria database. Energies are from PBE.

Computed properties:
Volume, A^3/atom: 34.83
Size of the total moment, μB/f.u.: 0.00
Formation energy from the elements, meV/atom: 138
DFT total energy, eV/cell: -39.06

abc: 3.629 8.765 10.074
angles: 101.90 90.02 89.98
Fractional positions:
Dy  0.000  0.624  0.786
Dy  0.500  0.684  0.098
Dy  0.500  0.316  0.902
Dy  0.000  0.981  0.323
Dy  0.000  0.376  0.214
Dy  0.000  0.019  0.677
Ac  0.500  0.694  0.461
Ac  0.500  0.306  0.539
Tm  0.000  0.000  0.000

---

No. 2
Here is a relaxed structure of Re3NiOs from the Alexandria database. Energies are from PBE.

Computed properties:
Volume, A^3/atom: 16.40
ΔE to the lowest computed polymorph, meV/atom: 0.0
Size of the total moment, μB/f.u.: 0.00
Formation energy from the elements, meV/atom: 1835
DFT total energy, eV/cell: -45.18

abc: 4.344 4.344 4.344
angles: 90.00 90.00 90.00
Fractional positions:
Ni  0.000  0.000  0.000
Os  0.500  0.500  0.500
Re  0.500  0.000  0.000
Re  0.000  0.500  0.000
Re  0.000  0.000  0.500

---

No. 3
Here is a relaxed structure of Cd2SiRh from the Alexandria database. Energies are from PBE.

Computed properties:
Volume, A^3/atom: 17.13
Size of the total moment, μB/f.u.: 0.00
DFT total energy, eV/cell: -14.21

abc: 4.007 4.008 4.267
angles: 90.00 90.00 90.00
Fractional positions:
Si  0.000  0.500  0.500
Rh  0.500  0.000  0.500
Cd  0.000  0.000  0.000
Cd  0.500  0.500  0.000

---

No. 4
Here is a relaxed structure of Pm4Tl3Pd from the Alexandria database. Energies are from PBE.

Computed properties:
Volume, A^3/atom: 27.68
ΔE to the lowest computed polymorph, meV/atom: 0.0
Size of the total moment, μB/f.u.: 0.00
Formation energy from the elements, meV/atom: -479
DFT total energy, eV/cell: -35.12

abc: 3.682 3.682 16.338
angles: 90.00 90.00 90.00
Fractional positions:
Pm  0.000  0.000  0.368
Pm  0.000  0.000  0.632
Pm  0.000  0.000  0.894
Pm  0.000  0.000  0.106
Tl  0.500  0.500  0.761
Tl  0.500  0.500  0.500
Tl  0.500  0.500  0.239
Pd  0.500  0.500  0.000

---

No. 5
Here is a relaxed structure of Pr6SbBr8 from the Alexandria database. Energies are from PBE.

Computed properties:
Volume, A^3/atom: 34.67
Size of the total moment, μB/f.u.: 0.00
DFT total energy, eV/cell: -68.15

abc: 7.440 7.440 11.668
angles: 71.41 71.41 60.00
Fractional positions:
Br  0.667  0.667  0.000
Br  0.216  0.567  0.326
Br  0.784  0.433  0.674
Br  0.567  0.891  0.326
Br  0.433  0.109  0.674
Br  0.891  0.216  0.326
Br  0.109  0.784  0.674
Br  0.333  0.333  0.000
Pr  0.948  0.604  0.158
Pr  0.052  0.396  0.842
Pr  0.604  0.291  0.158
Pr  0.709  0.052  0.842
Pr  0.291  0.948  0.158
Pr  0.396  0.709  0.842
Sb  0.000  0.000  0.000

---

No. 6
Here is a relaxed structure of Pu2TlAs from the Alexandria database. Energies are from PBE.

Computed properties:
Volume, A^3/atom: 24.69
ΔE to the lowest computed polymorph, meV/atom: 103.0
Size of the total moment, μB/f.u.: 11.91
Formation energy from the elements, meV/atom: -358
DFT total energy, eV/cell: -37.11

abc: 4.275 4.807 4.807
angles: 90.00 90.00 90.00
Fractional positions:
Pu  0.000  0.000  0.500
Pu  0.000  0.500  0.000
As  0.500  0.500  0.500
Tl  0.500  0.000  0.000

---

No. 7
Here is a relaxed structure of Nd8Ga3I4Cl from the Alexandria database. Energies are from PBE.

Computed properties:
Volume, A^3/atom: 31.22
Size of the total moment, μB/f.u.: 0.00
DFT total energy, eV/cell: -69.41

abc: 8.670 9.161 8.671
angles: 118.25 120.00 90.00
Fractional positions:
I  0.500  0.000  0.500
I  0.500  0.000  0.000
I  0.000  0.000  0.000
I  0.000  0.000  0.500
Cl  0.000  0.500  0.000
Nd  0.237  0.702  0.475
Nd  0.265  0.294  0.530
Nd  0.735  0.706  0.470
Nd  0.237  0.702  0.965
Nd  0.763  0.298  0.035
Nd  0.273  0.298  0.035
Nd  0.763  0.298  0.525
Nd  0.727  0.702  0.965
Ga  0.500  0.500  0.000
Ga  0.500  0.500  0.500
Ga  0.000  0.500  0.500

---

Q: Among the records above, which one has the lowest DFT total energy?
A: Nd8Ga3I4Cl